# Pm5ZnCd4 PBE-GGA optimized geometry
# - E: -3.19 eV per atom
# - V: 27.35 A^3/atom
# - DFT formation energy: -0.318 eV per atom
# - Size of the total moment: 1.1 μB per cell
data_Pm5ZnCd4
_chemical_formula_sum 'Pm5 Zn1 Cd4'
_cell_length_a 3.768
_cell_length_b 3.768
_cell_length_c 19.265
_cell_angle_alpha 90.00
_cell_angle_beta 90.00
_cell_angle_gamma 90.00
_space_group_name_H-M_alt 'P 4/m m m'
_space_group_IT_number 123
_space_group_name_Hall '-P 4 2'
loop_
_atom_site_label
_atom_site_type_symbol
_atom_site_fract_x
_atom_site_fract_y
_atom_site_fract_z
Pm1 Pm 0.000 0.000 0.000
Pm2 Pm 0.000 0.000 0.204
Pm3 Pm 0.000 0.000 0.410
Zn1 Zn 0.500 0.500 0.500
Cd1 Cd 0.500 0.500 0.102
Cd2 Cd 0.500 0.500 0.307